# 1
Compound: Sm2Mn17C2
Source: Alexandria via LeMat-Bulk
Functional: GGA-PBE
Structure: relaxed

Cell lengths 6.464, 6.464, 6.450 Å; angles 96.10, 96.10, 84.31 degrees
Positions (direct):
Sm1 0.146 0.146 0.348
Sm2 0.854 0.854 0.652
Mn1 0.000 0.500 0.000
Mn2 0.152 0.152 0.874
Mn3 0.165 0.635 0.337
Mn4 0.218 0.495 0.720
Mn5 0.227 0.773 0.000
Mn6 0.365 0.835 0.663
Mn7 0.405 0.405 0.098
Mn8 0.495 0.218 0.720
Mn9 0.500 0.000 0.000
Mn10 0.500 0.500 0.500
Mn11 0.505 0.782 0.280
Mn12 0.595 0.595 0.902
Mn13 0.635 0.165 0.337
Mn14 0.773 0.227 0.000
Mn15 0.782 0.505 0.280
Mn16 0.835 0.365 0.663
Mn17 0.848 0.848 0.126
C1 0.000 0.500 0.500
C2 0.500 0.000 0.500

Computed properties:
Formation energy from the elements in eV/atom: -0.0392

# 2
Compound: SmMn2C2
Source: Alexandria via LeMat-Bulk
Functional: GGA-PBE
Structure: relaxed

Cell lengths 6.213, 5.497, 5.244 Å; angles 70.64, 56.59, 52.77 degrees
Positions (direct):
Sm1 0.125 0.125 0.125
Sm2 0.875 0.875 0.875
Mn1 0.240 0.240 0.510
Mn2 0.490 0.490 0.760
Mn3 0.510 0.510 0.240
Mn4 0.760 0.760 0.490
C1 0.189 0.561 0.189
C2 0.439 0.811 0.439
C3 0.561 0.189 0.561
C4 0.811 0.439 0.811

Computed properties:
Formation energy from the elements in eV/atom: -0.2343

# 3
Compound: SmMn2C2
Source: Alexandria via LeMat-Bulk
Functional: GGA-PBE
Structure: relaxed

Cell lengths 3.469, 3.469, 10.190 Å; angles 90.00, 90.00, 90.00 degrees
Positions (direct):
Sm1 0.000 0.000 0.000
Sm2 0.500 0.500 0.500
Mn1 0.000 0.500 0.250
Mn2 0.000 0.500 0.750
Mn3 0.500 0.000 0.250
Mn4 0.500 0.000 0.750
C1 0.000 0.000 0.341
C2 0.000 0.000 0.659
C3 0.500 0.500 0.159
C4 0.500 0.500 0.841

Computed properties:
Formation energy from the elements in eV/atom: -0.1840

# 4
Compound: SmMn2C3
Source: Alexandria via LeMat-Bulk
Functional: GGA-PBE
Structure: relaxed

Cell lengths 5.679, 5.679, 4.886 Å; angles 90.00, 90.00, 109.01 degrees
Positions (direct):
Sm1 0.206 0.794 0.750
Sm2 0.794 0.206 0.250
Mn1 0.311 0.311 0.000
Mn2 0.311 0.311 0.500
Mn3 0.689 0.689 0.000
Mn4 0.689 0.689 0.500
C1 0.032 0.181 0.750
C2 0.181 0.032 0.250
C3 0.416 0.584 0.250
C4 0.584 0.416 0.750
C5 0.819 0.968 0.750
C6 0.968 0.819 0.250

Computed properties:
Formation energy from the elements in eV/atom: -0.0304